Computed, not measured: Li3ReN2 after structural relaxation at the PBE level of DFT.

Properties
Raw total energy ... -6.039 eV per atom
Space group ... Ibam (72)
Volume ... 121.9 Å³ per cell

Structure (extended XYZ):
```
12
Lattice="-2.472 4.887 2.523 2.472 -4.887 2.523 2.472 4.887 -2.523" Properties=species:S:1:pos:R:3 pbc="T T T"
Li 2.472 2.592 -1.262
Li 0.000 0.000 1.262
Li 0.000 2.296 1.262
Li 2.472 2.592 1.262
Li 0.000 0.000 3.785
Li 0.000 2.296 3.785
Re 2.472 0.000 1.262
Re 0.000 4.887 1.262
N 3.605 1.162 0.000
N 1.133 3.725 0.000
N 1.339 1.162 2.523
N -1.133 3.725 2.523
```